Material: PmAsAuO
Method: DFT, PBE-GGA
State: relaxed

Output
As for the relative energy among the computed polymorphs: 0.0 meV/atom. Its space-group type is No. 129.

Unit cell a=4.128 b=4.128 c=8.838 alpha=90.00 beta=90.00 gamma=90.00
Positions (direct):
As1 0.750 0.750 0.308
As2 0.250 0.250 0.692
Au1 0.750 0.250 0.500
Au2 0.250 0.750 0.500
O1 0.750 0.250 0.000
O2 0.250 0.750 0.000
Pm1 0.250 0.250 0.127
Pm2 0.750 0.750 0.873